Record 1
# In2MoAs | Alexandria via LeMat-Bulk | GGA-PBE | optimized geometry
# * calculated density: 7.8 Mg/m³
# * calculated formation energy: 64 meV per atom
# * uncorrected energy: -5.18 eV per atom
data_In2MoAs
_chemical_formula_sum 'In2 Mo1 As1'
_cell_length_a 3.1655
_cell_length_b 3.1655
_cell_length_c 8.5454
_cell_angle_alpha 90.00
_cell_angle_beta 90.00
_cell_angle_gamma 90.00
_space_group_name_H-M_alt 'P 1'
_space_group_IT_number 1
_space_group_name_Hall 'P 1'
loop_
_atom_site_label
_atom_site_fract_x
_atom_site_fract_y
_atom_site_fract_z
In1 0.0000 0.0000 0.0000
In2 0.5000 0.5000 0.3179
Mo1 0.0000 0.0000 0.5527
As1 0.5000 0.5000 0.7037

Record 2
# LaBeTlCo2 | Alexandria via LeMat-Bulk | GGA-PBE | optimized geometry
# * calculated density: 6.9 Mg/m³
# * calculated formation energy: 1458 meV per atom
# * uncorrected energy: -3.59 eV per atom
data_LaBeTlCo2
_chemical_formula_sum 'La1 Be1 Tl1 Co2'
_cell_length_a 4.6016
_cell_length_b 4.6016
_cell_length_c 5.3719
_cell_angle_alpha 90.00
_cell_angle_beta 90.00
_cell_angle_gamma 90.00
_space_group_name_H-M_alt 'P 1'
_space_group_IT_number 1
_space_group_name_Hall 'P 1'
loop_
_atom_site_label
_atom_site_fract_x
_atom_site_fract_y
_atom_site_fract_z
La1 0.0000 0.0000 0.0000
Be1 0.0000 0.0000 0.5000
Tl1 0.5000 0.5000 0.5000
Co1 0.0000 0.5000 0.0000
Co2 0.5000 0.0000 0.0000

Record 3
# Li4PPb | Alexandria via LeMat-Bulk | GGA-PBE | optimized geometry
# * calculated density: 4.2 Mg/m³
# * calculated formation energy: -10 meV per atom
# * uncorrected energy: -2.81 eV per atom
data_Li4PPb
_chemical_formula_sum 'Li4 P1 Pb1'
_cell_length_a 5.2959
_cell_length_b 5.2959
_cell_length_c 5.2959
_cell_angle_alpha 60.00
_cell_angle_beta 60.00
_cell_angle_gamma 60.00
_space_group_name_H-M_alt 'P 1'
_space_group_IT_number 1
_space_group_name_Hall 'P 1'
loop_
_atom_site_label
_atom_site_fract_x
_atom_site_fract_y
_atom_site_fract_z
Li1 0.1246 0.1246 0.1246
Li2 0.1246 0.1246 0.6262
Li3 0.1246 0.6262 0.1246
Li4 0.6262 0.1246 0.1246
P1 0.7500 0.7500 0.7500
Pb1 0.5000 0.5000 0.5000

Record 4
# LiZr2Au | Alexandria via LeMat-Bulk | GGA-PBE | optimized geometry
# * calculated density: 8.2 Mg/m³
# * calculated formation energy: -169 meV per atom
# * uncorrected energy: -5.74 eV per atom
data_LiZr2Au
_chemical_formula_sum 'Li1 Zr2 Au1'
_cell_length_a 3.1480
_cell_length_b 4.3020
_cell_length_c 5.9678
_cell_angle_alpha 90.00
_cell_angle_beta 105.24
_cell_angle_gamma 90.00
_space_group_name_H-M_alt 'P 1'
_space_group_IT_number 1
_space_group_name_Hall 'P 1'
loop_
_atom_site_label
_atom_site_fract_x
_atom_site_fract_y
_atom_site_fract_z
Li1 0.0000 0.0000 0.0000
Zr1 0.2596 0.0000 0.5261
Zr2 0.6005 0.5000 0.2064
Au1 0.8726 0.5000 0.7528

What did the first record say?
# In2MoAs | Alexandria via LeMat-Bulk | GGA-PBE | optimized geometry
# * calculated density: 7.8 Mg/m³
# * calculated formation energy: 64 meV per atom
# * uncorrected energy: -5.18 eV per atom
data_In2MoAs
_chemical_formula_sum 'In2 Mo1 As1'
_cell_length_a 3.1655
_cell_length_b 3.1655
_cell_length_c 8.5454
_cell_angle_alpha 90.00
_cell_angle_beta 90.00
_cell_angle_gamma 90.00
_space_group_name_H-M_alt 'P 1'
_space_group_IT_number 1
_space_group_name_Hall 'P 1'
loop_
_atom_site_label
_atom_site_fract_x
_atom_site_fract_y
_atom_site_fract_z
In1 0.0000 0.0000 0.0000
In2 0.5000 0.5000 0.3179
Mo1 0.0000 0.0000 0.5527
As1 0.5000 0.5000 0.7037

> Look up the calculated formation energy of the first one.

64 meV per atom

What did the fourth record say?
# LiZr2Au | Alexandria via LeMat-Bulk | GGA-PBE | optimized geometry
# * calculated density: 8.2 Mg/m³
# * calculated formation energy: -169 meV per atom
# * uncorrected energy: -5.74 eV per atom
data_LiZr2Au
_chemical_formula_sum 'Li1 Zr2 Au1'
_cell_length_a 3.1480
_cell_length_b 4.3020
_cell_length_c 5.9678
_cell_angle_alpha 90.00
_cell_angle_beta 105.24
_cell_angle_gamma 90.00
_space_group_name_H-M_alt 'P 1'
_space_group_IT_number 1
_space_group_name_Hall 'P 1'
loop_
_atom_site_label
_atom_site_fract_x
_atom_site_fract_y
_atom_site_fract_z
Li1 0.0000 0.0000 0.0000
Zr1 0.2596 0.0000 0.5261
Zr2 0.6005 0.5000 0.2064
Au1 0.8726 0.5000 0.7528

Copy entry 1 word for word.
# In2MoAs | Alexandria via LeMat-Bulk | GGA-PBE | optimized geometry
# * calculated density: 7.8 Mg/m³
# * calculated formation energy: 64 meV per atom
# * uncorrected energy: -5.18 eV per atom
data_In2MoAs
_chemical_formula_sum 'In2 Mo1 As1'
_cell_length_a 3.1655
_cell_length_b 3.1655
_cell_length_c 8.5454
_cell_angle_alpha 90.00
_cell_angle_beta 90.00
_cell_angle_gamma 90.00
_space_group_name_H-M_alt 'P 1'
_space_group_IT_number 1
_space_group_name_Hall 'P 1'
loop_
_atom_site_label
_atom_site_fract_x
_atom_site_fract_y
_atom_site_fract_z
In1 0.0000 0.0000 0.0000
In2 0.5000 0.5000 0.3179
Mo1 0.0000 0.0000 0.5527
As1 0.5000 0.5000 0.7037